Below is HClF2 after structural relaxation, with properties calculated at the GGA-PBE level.

Cell: 4.997 5.341 5.770 Å, 106.13 106.36 99.64°
Element x y z (fractional)
H  0.000  0.000  0.000
H  0.074  0.292  0.715
Cl  0.415  0.817  0.324
Cl  0.745  0.666  0.464
F  0.025  0.975  0.171
F  0.149  0.462  0.695
F  0.616  0.357  0.229
F  0.950  0.031  0.760

Total DFT energy (no corrections) (eV/cell): -25.8
DOS(E_F) (states/eV per cell): 0.0
Symmetry: P1, No. 1
Energy relative to the lowest polymorph listed for this composition (eV/f.u.): 0.014
Crystal system: triclinic